# Ac3Ga4Rh4 (GGA-PBE, optimized geometry)
data_Ac3Ga4Rh4
_chemical_formula_sum 'Ac3 Ga4 Rh4'
_cell_length_a 4.355
_cell_length_b 4.442
_cell_length_c 13.155
_cell_angle_alpha 99.37
_cell_angle_beta 99.48
_cell_angle_gamma 90.17
_space_group_name_H-M_alt 'P 1'
_space_group_IT_number 1
_space_group_name_Hall 'P 1'
loop_
_atom_site_label
_atom_site_type_symbol
_atom_site_fract_x
_atom_site_fract_y
_atom_site_fract_z
Ac1 Ac 0.000 0.000 0.000
Ac2 Ac 0.146 0.647 0.292
Ac3 Ac 0.854 0.353 0.708
Ga1 Ga 0.250 0.248 0.500
Ga2 Ga 0.400 0.897 0.800
Ga3 Ga 0.600 0.103 0.200
Ga4 Ga 0.750 0.752 0.500
Rh1 Rh 0.301 0.797 0.601
Rh2 Rh 0.447 0.442 0.893
Rh3 Rh 0.553 0.558 0.107
Rh4 Rh 0.699 0.203 0.399
# uncorrected energy	-61.76	eV for the cell shown
# formation energy	-0.720	eV per atom
# offset from the most stable computed form	40	meV per atom
# N(E_F)	8.97	states/eV/f.u.
# symmetry	P-1